[1]
First-principles (PBE-GGA) data for a geometry-optimized TcAu2Se structure, as listed in Alexandria via LeMat-Bulk.

Total energy = -4.6300 eV per atom
Fermi-level density of states = 5.84 states/eV/f.u.
M_tot = 0.00 μB per formula unit

Unit cell a=9.820 b=9.820 c=9.820 alpha=17.11 beta=17.11 gamma=17.11
Fractional coordinates of all 4 atoms:
Au: 0.494 0.494 0.494
Au: 0.006 0.006 0.006
Se: 0.250 0.250 0.250
Tc: 0.750 0.750 0.750

***

[2]
First-principles (PBE-GGA) data for a geometry-optimized TcAuSe2 structure, as listed in Alexandria via LeMat-Bulk.

Total energy = -4.9500 eV per atom
Fermi-level density of states = 2.01 states/eV/f.u.
M_tot = 0.10 μB per formula unit

Unit cell a=5.102 b=5.102 c=7.280 alpha=69.49 beta=69.49 gamma=90.00
Fractional coordinates of all 8 atoms:
Se: 0.699 0.699 0.602
Se: 0.301 0.301 0.398
Se: 0.449 0.949 0.102
Se: 0.051 0.551 0.898
Tc: 0.250 0.750 0.500
Tc: 0.500 0.500 0.000
Au: 0.000 0.000 0.000
Au: 0.750 0.250 0.500

***

[3]
First-principles (PBE-GGA) data for a geometry-optimized TcAuSe2 structure, as listed in Alexandria via LeMat-Bulk.

Total energy = -5.3036 eV per atom
Fermi-level density of states = 1.67 states/eV/f.u.
M_tot = 0.00 μB per formula unit

Unit cell a=8.904 b=3.132 c=13.070 alpha=90.00 beta=90.00 gamma=90.00
Fractional coordinates of all 16 atoms:
Tc: 0.480 0.250 0.912
Tc: 0.020 0.750 0.412
Tc: 0.520 0.750 0.088
Tc: 0.980 0.250 0.588
Se: 0.525 0.250 0.718
Se: 0.475 0.750 0.282
Se: 0.025 0.250 0.782
Se: 0.188 0.750 0.560
Se: 0.312 0.250 0.060
Se: 0.975 0.750 0.218
Se: 0.688 0.750 0.940
Se: 0.812 0.250 0.440
Au: 0.748 0.750 0.672
Au: 0.752 0.250 0.172
Au: 0.252 0.250 0.328
Au: 0.248 0.750 0.828